Record 1
Density functional theory data (PBE) for a relaxed VTcMo crystal.

Summary:
Energy of formation, kJ per mole of atoms: -12.58
Density of states at the Fermi level, states/eV per cell: 8.12

abc: 3.0763 12.9183 4.4166
angles: 90.00 90.00 90.00
Space group Cmcm (No. 63)
Inequivalent atoms, fractional coordinates:
V1 0.0000 0.2493 0.2500 (multiplicity 4)
Tc1 0.0000 0.4138 0.7500 (multiplicity 4)
Mo1 0.0000 0.0873 0.7500 (multiplicity 4)


Record 2
Density functional theory data (PBE) for a relaxed VTcMo crystal.

Summary:
Energy of formation, kJ per mole of atoms: -17.55
Density of states at the Fermi level, states/eV per cell: 5.55

abc: 3.0742 3.0742 9.2593
angles: 90.00 90.00 90.00
Space group I4mm (No. 107)
Inequivalent atoms, fractional coordinates:
V1 0.0000 0.0000 0.0000 (multiplicity 2)
Tc1 0.0000 0.0000 0.6623 (multiplicity 2)
Mo1 0.0000 0.0000 0.3341 (multiplicity 2)


Record 3
Density functional theory data (PBE) for a relaxed V5TcMo6 crystal.

Summary:
Energy of formation, kJ per mole of atoms: -14.44
Density of states at the Fermi level, states/eV per cell: 13.08

abc: 4.3575 13.0828 6.1674
angles: 90.00 90.00 90.00
Space group Cmmm (No. 65)
Inequivalent atoms, fractional coordinates:
V1 0.0000 0.0000 0.0000 (multiplicity 2)
V2 0.0000 0.3324 0.5000 (multiplicity 4)
V3 0.0000 0.3338 0.0000 (multiplicity 4)
Tc1 0.0000 0.0000 0.5000 (multiplicity 2)
Mo1 0.0000 0.1672 0.2493 (multiplicity 8)
Mo2 0.0000 0.5000 0.2472 (multiplicity 4)


Record 4
Density functional theory data (PBE) for a relaxed V7Tc3Mo2 crystal.

Summary:
Energy of formation, kJ per mole of atoms: 16.94
Density of states at the Fermi level, states/eV per cell: 24.19

abc: 4.2440 20.5263 4.2306
angles: 90.00 90.00 90.00
Space group Cmmm (No. 65)
Inequivalent atoms, fractional coordinates:
V1 0.0000 0.0000 0.0000 (multiplicity 2)
V2 0.0000 0.0738 0.5000 (multiplicity 4)
V3 0.0000 0.2858 0.0000 (multiplicity 4)
V4 0.0000 0.4280 0.0000 (multiplicity 4)
Tc1 0.0000 0.3513 0.5000 (multiplicity 4)
Tc2 0.0000 0.5000 0.5000 (multiplicity 2)
Mo1 0.0000 0.1467 0.0000 (multiplicity 4)


Record 5
Density functional theory data (PBE) for a relaxed V4Tc5Mo crystal.

Summary:
Energy of formation, kJ per mole of atoms: -27.58
Density of states at the Fermi level, states/eV per cell: 5.36

abc: 3.0443 3.0443 15.2654
angles: 90.00 90.00 90.00
Space group P4/mmm (No. 123)
Inequivalent atoms, fractional coordinates:
V1 0.0000 0.0000 0.0984 (multiplicity 2)
V2 0.0000 0.0000 0.2953 (multiplicity 2)
Tc1 0.5000 0.5000 0.0000 (multiplicity 1)
Tc2 0.5000 0.5000 0.1975 (multiplicity 2)
Tc3 0.5000 0.5000 0.3932 (multiplicity 2)
Mo1 0.0000 0.0000 0.5000 (multiplicity 1)


Record 6
Density functional theory data (PBE) for a relaxed VTc4Mo3 crystal.

Summary:
Energy of formation, kJ per mole of atoms: -3.61
Density of states at the Fermi level, states/eV per cell: 5.36

abc: 3.0971 3.0971 12.4552
angles: 90.00 90.00 90.00
Space group P4/mmm (No. 123)
Inequivalent atoms, fractional coordinates:
V1 0.0000 0.0000 0.0000 (multiplicity 1)
Tc1 0.5000 0.5000 0.1186 (multiplicity 2)
Tc2 0.5000 0.5000 0.3748 (multiplicity 2)
Mo1 0.0000 0.0000 0.2446 (multiplicity 2)
Mo2 0.0000 0.0000 0.5000 (multiplicity 1)


Record 7
Density functional theory data (PBE) for a relaxed V2Tc4Mo crystal.

Summary:
Energy of formation, kJ per mole of atoms: 126.71
Density of states at the Fermi level, states/eV per cell: 12.27

abc: 4.5849 4.5849 12.2983
angles: 90.00 90.00 90.00
Space group I4/mmm (No. 139)
Inequivalent atoms, fractional coordinates:
V1 0.0000 0.0000 0.1264 (multiplicity 4)
Tc1 0.0000 0.0000 0.2953 (multiplicity 4)
Tc2 0.0000 0.5000 0.0000 (multiplicity 4)
Mo1 0.0000 0.0000 0.5000 (multiplicity 2)


Record 8
Density functional theory data (PBE) for a relaxed V3Tc3Mo crystal.

Summary:
Energy of formation, kJ per mole of atoms: 8.19
Density of states at the Fermi level, states/eV per cell: 23.77

abc: 8.2294 8.6339 5.8989
angles: 90.00 90.00 90.00
Space group Cmmm (No. 65)
Inequivalent atoms, fractional coordinates:
V1 0.0000 0.0000 0.2453 (multiplicity 4)
V2 0.2500 0.2500 0.2472 (multiplicity 8)
Tc1 0.0000 0.2308 0.5000 (multiplicity 4)
Tc2 0.0000 0.2682 0.0000 (multiplicity 4)
Tc3 0.2464 0.0000 0.0000 (multiplicity 4)
Mo1 0.1860 0.5000 0.5000 (multiplicity 4)